VASP calculation (GGA+U) on Cs2Mn3ZnF12 after structural relaxation.

Lattice parameters (Å, degrees): 7.424 7.424 7.424 62.13 62.13 62.13
Each line ends with the local moment (μB).
Element x y z (fractional)
Zn1 0.000 0.000 0.000  0.00
F1 0.068 0.678 0.068  -0.02
F2 0.678 0.068 0.068  -0.02
F3 0.320 0.320 0.932  0.03
F4 0.320 0.932 0.320  0.03
F5 0.068 0.068 0.678  -0.02
F6 0.680 0.068 0.680  0.03
F7 0.932 0.322 0.932  -0.02
F8 0.932 0.932 0.322  -0.02
F9 0.068 0.680 0.680  0.03
F10 0.322 0.932 0.932  -0.02
F11 0.932 0.320 0.320  0.03
F12 0.680 0.680 0.068  0.03
Mn1 0.000 0.500 0.000  4.20
Mn2 0.500 0.000 0.000  4.20
Mn3 0.000 0.000 0.500  4.20
Cs1 0.625 0.625 0.625  0.00
Cs2 0.375 0.375 0.375  0.00

## Properties
* VASP energy: -94.8 eV/f.u.
* crystal system: trigonal
* M_tot: 13.000 μB per formula unit